## HfMn2RuS (PBE-GGA)

Data for a relaxed HfMn2RuS crystal.

Cell lengths 4.747, 4.747, 4.293 Å; angles 90.00, 90.00, 90.00 degrees
Space group P4/mmm (No. 123)
Inequivalent atoms, fractional coordinates:
Hf 0.000 0.000 0.000 x1
Mn 0.000 0.500 0.500 x2
Ru 0.500 0.500 0.500 x1
S 0.500 0.500 0.000 x1

Calculated values
Final energy = -37.929 eV/cell
Formation energy (no corrections) = 3.767 eV per formula unit
ρ = 7.24 g/cm³